Entry from the Alexandria database: an optimized crystal structure of BaFeF5 (PBE+U).

Cell and atoms, written as POSCAR:
```
BaFeF5
1.0
8.032 0.000 0.000
0.000 9.682 -0.002
0.000 8.926 11.532
Ba Fe F
8 8 40
Direct
0.216 0.671 0.643
0.716 0.329 0.857
0.784 0.329 0.357
0.284 0.671 0.143
0.282 0.230 0.544
0.782 0.770 0.956
0.718 0.770 0.456
0.218 0.230 0.044
0.292 0.791 0.839
0.792 0.209 0.661
0.708 0.209 0.161
0.208 0.791 0.339
0.195 0.192 0.815
0.695 0.808 0.685
0.805 0.808 0.185
0.305 0.192 0.315
0.941 0.654 0.167
0.441 0.346 0.333
0.059 0.346 0.833
0.559 0.654 0.667
0.483 0.872 0.722
0.983 0.128 0.778
0.517 0.128 0.278
0.017 0.872 0.222
0.451 0.730 0.958
0.951 0.270 0.542
0.549 0.270 0.042
0.049 0.730 0.458
0.384 0.282 0.849
0.884 0.718 0.651
0.616 0.718 0.151
0.116 0.282 0.349
0.193 0.041 0.286
0.693 0.959 0.214
0.807 0.959 0.714
0.307 0.041 0.786
0.270 0.380 0.152
0.770 0.620 0.348
0.730 0.620 0.848
0.230 0.380 0.652
0.340 0.892 0.201
0.840 0.108 0.299
0.660 0.108 0.799
0.160 0.892 0.701
0.386 0.733 0.445
0.886 0.267 0.055
0.614 0.267 0.555
0.114 0.733 0.945
0.218 0.571 0.365
0.718 0.429 0.135
0.782 0.429 0.635
0.282 0.571 0.865
0.685 0.993 0.520
0.185 0.007 0.980
0.315 0.007 0.480
0.815 0.993 0.020
```

Summary:
DOS at the Fermi energy: 0.0 states/eV/f.u.
Magnetic moment: 0.7142 μB per atom
Raw total energy: -0.204 Ha/atom